(1)
Crystalline LaRhI2 at its relaxed geometry, computed with GGA-PBE.

```
data_LaRhI2
_chemical_formula_sum 'La1 Rh1 I2'
_cell_length_a 5.3264
_cell_length_b 5.3264
_cell_length_c 5.3264
_cell_angle_alpha 60.00
_cell_angle_beta 60.00
_cell_angle_gamma 60.00
_symmetry_space_group_name_H-M 'P 1'
_symmetry_Int_Tables_number 1
_symmetry_space_group_name_Hall 'P 1'
loop_
_atom_site_label
_atom_site_type_symbol
_atom_site_fract_x
_atom_site_fract_y
_atom_site_fract_z
_atom_site_occupancy
I1 I 0.7500 0.7500 0.7500 1
La1 La 0.5000 0.5000 0.5000 1
Rh1 Rh 0.0000 0.0000 0.0000 1
I2 I 0.2500 0.2500 0.2500 1
```

## Properties
* formation energy from raw total energies: -0.40 eV/atom
* magnetic moment: 0.00 μB per formula unit
* SG: No. 225


(2)
Crystalline LaRh2I at its relaxed geometry, computed with GGA-PBE.

```
data_LaRh2I
_chemical_formula_sum 'La2 Rh4 I2'
_cell_length_a 4.6053
_cell_length_b 4.6053
_cell_length_c 9.4193
_cell_angle_alpha 75.85
_cell_angle_beta 75.85
_cell_angle_gamma 90.00
_symmetry_space_group_name_H-M 'P 1'
_symmetry_Int_Tables_number 1
_symmetry_space_group_name_Hall 'P 1'
loop_
_atom_site_label
_atom_site_type_symbol
_atom_site_fract_x
_atom_site_fract_y
_atom_site_fract_z
_atom_site_occupancy
La1 La 0.0000 0.0000 0.0000 1
La2 La 0.7500 0.2500 0.5000 1
Rh1 Rh 0.8750 0.8799 0.7500 1
Rh2 Rh 0.1201 0.6250 0.2500 1
I1 I 0.5000 0.5000 0.0000 1
Rh3 Rh 0.3750 0.3701 0.7500 1
I2 I 0.2500 0.7500 0.5000 1
Rh4 Rh 0.6299 0.1250 0.2500 1
```

## Properties
* formation energy from raw total energies: -0.15 eV/atom
* magnetic moment: 0.00 μB per formula unit
* SG: No. 122


Among the records above, which one has the highest formation energy from raw total energies?
LaRh2I